Record 1
Lu3PPd | GGA-PBE | relaxed

## Properties
SG = Pm-3m, No. 221
mass density = 8459 kg/m³

abc: 5.066 5.066 5.066
angles: 90.00 90.00 90.00
Positions (direct):
Lu (0.000, 0.000, 0.500)
Lu (0.000, 0.500, 0.000)
Lu (0.500, 0.000, 0.000)
P (0.000, 0.000, 0.000)
Pd (0.500, 0.500, 0.500)

Record 2
LuP2Pt8 | GGA-PBE | relaxed

## Properties
SG = C2/m, No. 12
mass density = 16497 kg/m³

abc: 6.316 6.316 9.469
angles: 125.09 125.09 37.04
Positions (direct):
Lu (0.000, 0.000, 0.000)
P (0.441, 0.441, 0.209)
P (0.559, 0.559, 0.791)
Pt (0.025, 0.025, 0.370)
Pt (0.282, 0.282, 0.916)
Pt (0.324, 0.324, 0.657)
Pt (0.333, 0.333, 0.347)
Pt (0.667, 0.667, 0.653)
Pt (0.676, 0.676, 0.343)
Pt (0.718, 0.718, 0.084)
Pt (0.975, 0.975, 0.630)

Record 3
LuPS4 | GGA-PBE | relaxed

## Properties
SG = P2_1/c, No. 14
mass density = 3872 kg/m³

abc: 8.324 6.468 12.526
angles: 90.00 121.79 90.00
Positions (direct):
Lu (0.059, 0.176, 0.166)
Lu (0.059, 0.324, 0.666)
Lu (0.941, 0.676, 0.334)
Lu (0.941, 0.824, 0.834)
P (0.195, 0.228, 0.464)
P (0.195, 0.272, 0.964)
P (0.805, 0.728, 0.036)
P (0.805, 0.772, 0.536)
S (0.084, 0.731, 0.588)
S (0.084, 0.769, 0.088)
S (0.228, 0.543, 0.890)
S (0.228, 0.957, 0.390)
S (0.249, 0.052, 0.867)
S (0.249, 0.448, 0.367)
S (0.363, 0.246, 0.652)
S (0.363, 0.254, 0.152)
S (0.637, 0.746, 0.848)
S (0.637, 0.754, 0.348)
S (0.751, 0.552, 0.633)
S (0.751, 0.948, 0.133)
S (0.772, 0.043, 0.610)
S (0.772, 0.457, 0.110)
S (0.916, 0.231, 0.912)
S (0.916, 0.269, 0.412)

Record 4
Lu3PS2 | GGA-PBE | relaxed

## Properties
SG = P-3m1, No. 164
mass density = 8572 kg/m³

abc: 3.847 3.847 9.372
angles: 90.00 90.00 120.00
Positions (direct):
Lu (0.000, 0.000, 0.000)
Lu (0.333, 0.667, 0.662)
Lu (0.667, 0.333, 0.338)
P (0.000, 0.000, 0.500)
S (0.333, 0.667, 0.164)
S (0.667, 0.333, 0.836)

Record 5
Lu3SbP2 | GGA-PBE | relaxed

## Properties
SG = P-3m1, No. 164
mass density = 8421 kg/m³

abc: 3.992 3.992 10.126
angles: 90.00 90.00 120.00
Positions (direct):
Lu (0.000, 0.000, 0.000)
Lu (0.333, 0.667, 0.694)
Lu (0.667, 0.333, 0.306)
Sb (0.000, 0.000, 0.500)
P (0.333, 0.667, 0.157)
P (0.667, 0.333, 0.843)

Record 6
Lu3Sb2P | GGA-PBE | relaxed

## Properties
SG = P-3m1, No. 164
mass density = 8608 kg/m³

abc: 4.140 4.140 10.388
angles: 90.00 90.00 120.00
Positions (direct):
Lu (0.000, 0.000, 0.000)
Lu (0.333, 0.667, 0.644)
Lu (0.667, 0.333, 0.356)
Sb (0.333, 0.667, 0.176)
Sb (0.667, 0.333, 0.824)
P (0.000, 0.000, 0.500)

Record 7
LuPSe4 | GGA-PBE | relaxed

## Properties
SG = P2_1/c, No. 14
mass density = 5059 kg/m³

abc: 8.906 6.838 13.148
angles: 90.00 121.17 90.00
Positions (direct):
Lu (0.056, 0.173, 0.166)
Lu (0.056, 0.327, 0.666)
Lu (0.944, 0.673, 0.334)
Lu (0.944, 0.827, 0.834)
P (0.191, 0.229, 0.463)
P (0.191, 0.271, 0.963)
P (0.809, 0.729, 0.037)
P (0.809, 0.771, 0.537)
Se (0.091, 0.728, 0.590)
Se (0.091, 0.772, 0.090)
Se (0.228, 0.549, 0.887)
Se (0.228, 0.951, 0.387)
Se (0.246, 0.048, 0.861)
Se (0.246, 0.452, 0.361)
Se (0.360, 0.250, 0.156)
Se (0.360, 0.250, 0.656)
Se (0.640, 0.750, 0.344)
Se (0.640, 0.750, 0.844)
Se (0.754, 0.548, 0.639)
Se (0.754, 0.952, 0.139)
Se (0.772, 0.049, 0.613)
Se (0.772, 0.451, 0.113)
Se (0.909, 0.228, 0.910)
Se (0.909, 0.272, 0.410)

Record 8
Lu3PSe2 | GGA-PBE | relaxed

## Properties
SG = P-3m1, No. 164
mass density = 8950 kg/m³

abc: 3.955 3.955 9.778
angles: 90.00 90.00 120.00
Positions (direct):
Lu (0.000, 0.000, 0.000)
Lu (0.333, 0.667, 0.649)
Lu (0.667, 0.333, 0.351)
P (0.000, 0.000, 0.500)
Se (0.333, 0.667, 0.169)
Se (0.667, 0.333, 0.831)

Calculated E in order - -26.148, -70.656, -130.078, -38.181, -36.736, -34.250, -114.855, -35.914 eV for the cell shown